1.
KHf3Ag | PBE | relaxed

## Properties
theoretical density: 7.735 g cm⁻³
excess energy over the best structure of this formula in the dataset: 0 kJ/mol of formula units
E_tot: -5.526 eV/atom
formation energy: 119 kJ/mol of atoms

a = 5.2717 Å, b = 5.2717 Å, c = 5.2717 Å
α = 90.00°, β = 90.00°, γ = 90.00°
Space group Pm-3m (No. 221)
One atom of each set of equivalent atoms:
K  0.0000  0.0000  0.0000 x1
Hf  0.0000  0.5000  0.5000 x3
Ag  0.5000  0.5000  0.5000 x1


2.
MgP2Se6 | PBE | relaxed

## Properties
raw formation energy: -0.222 eV per atom
theoretical density: 3.960 g cm⁻³
E_tot: -3.925 eV/atom

a = 12.8006 Å, b = 12.0236 Å, c = 6.4710 Å
α = 90.00°, β = 109.42°, γ = 90.00°
Space group C2/c (No. 15)
One atom of each set of equivalent atoms:
Mg  0.0000  0.1435  0.2500 x4
P  0.2081  0.4170  0.2595 x8
Se  0.1089  0.0761  0.6603 x8
Se  0.1280  0.2683  0.0836 x8
Se  0.1354  0.4284  0.5374 x8


3.
Sc3ZnN | PBE | relaxed

## Properties
raw formation energy: 0.014 eV per atom
theoretical density: 2.647 g cm⁻³
E_tot: -5.704 eV/atom

a = 4.1893 Å, b = 4.1893 Å, c = 7.6589 Å
α = 90.00°, β = 90.00°, γ = 90.00°
Space group P4mm (No. 99)
One atom of each set of equivalent atoms:
Sc  0.0000  0.0000  0.0000 x1
Sc  0.0000  0.5000  0.6545 x2
Zn  0.0000  0.0000  0.3742 x1
N  0.5000  0.5000  0.6154 x1


4.
La2TbY5 | PBE | relaxed

## Properties
theoretical density: 5.366 g cm⁻³
excess energy over the best structure of this formula in the dataset: 0 kJ/mol of formula units
E_tot: -5.716 eV/atom
formation energy: 13 kJ/mol of atoms

a = 5.6910 Å, b = 12.0394 Å, c = 15.9217 Å
α = 90.00°, β = 90.00°, γ = 90.00°
Space group Cmcm (No. 63)
One atom of each set of equivalent atoms:
La  0.0000  0.2154  0.1290 x8
Tb  0.0000  0.2642  0.7500 x4
Y  0.0000  0.0805  0.5915 x8
Y  0.0000  0.3835  0.5490 x8
Y  0.0000  0.4604  0.2500 x4


5.
LiTm3Sn3 | PBE | relaxed

## Properties
theoretical density: 6.622 g cm⁻³
excess energy over the best structure of this formula in the dataset: 201 kJ/mol of formula units
E_tot: -4.216 eV/atom
formation energy: -30 kJ/mol of atoms

a = 9.1402 Å, b = 9.1402 Å, c = 6.0297 Å
α = 90.00°, β = 90.00°, γ = 120.00°
Space group P6_3/m (No. 176)
One atom of each set of equivalent atoms:
Li  0.3333  0.6667  0.2500 x2
Tm  0.0348  0.3464  0.7500 x6
Sn  0.0299  0.3529  0.2500 x6


6.
TiGeTeN2 | PBE | relaxed

## Properties
raw formation energy: 0.407 eV per atom
theoretical density: 5.084 g cm⁻³
excess energy over the best structure of this formula in the dataset: 0 kJ/mol of formula units
E_tot: -6.053 eV/atom

a = 3.9709 Å, b = 3.9709 Å, c = 5.7198 Å
α = 90.00°, β = 90.00°, γ = 90.00°
Space group P4/mmm (No. 123)
One atom of each set of equivalent atoms:
Ti  0.0000  0.0000  0.0000 x1
Ge  0.5000  0.5000  0.5000 x1
Te  0.0000  0.0000  0.5000 x1
N  0.0000  0.5000  0.0000 x2